This record from the Alexandria database describes crystalline TePIrS2 at its relaxed geometry. The functional is PBE.

Raw formation energy = 0.501 eV per atom
Offset from the most stable computed form = 0.0 meV per atom

a b c (Å): 4.773 4.773 4.504
angles (deg): 90.00 90.00 90.00
Fractional positions:
Te 0.500 0.500 0.500
P 0.000 0.000 0.500
S 0.500 0.000 0.000
S 0.000 0.500 0.000
Ir 0.000 0.000 0.000

***

This record from the Alexandria database describes crystalline Rb2CdCI6 at its relaxed geometry. The functional is PBE.

Raw formation energy = -0.224 eV per atom

a b c (Å): 8.080 8.080 8.074
angles (deg): 59.98 59.98 90.00
Fractional positions:
Rb 0.750 0.250 0.500
Rb 0.250 0.750 0.500
C 0.500 0.500 0.000
Cd 0.000 0.000 0.000
I 0.736 0.736 0.528
I 0.264 0.264 0.000
I 0.264 0.736 0.000
I 0.736 0.264 0.000
I 0.736 0.736 0.000
I 0.264 0.264 0.472

***

This record from the Alexandria database describes crystalline PuZn2GeO8 at its relaxed geometry. The functional is PBE.

Raw formation energy = -1.393 eV per atom

a b c (Å): 5.749 5.749 5.749
angles (deg): 113.38 113.38 101.91
Last column: magnetic moment on the atom in μB.
Fractional positions:
O 0.953 0.244 0.290  -0.16
O 0.295 0.097 0.802  -0.06
O 0.903 0.705 0.198  -0.06
O 0.506 0.705 0.802  -0.06
O 0.295 0.494 0.198  -0.06
O 0.337 0.047 0.290  -0.16
O 0.756 0.047 0.710  -0.16
O 0.953 0.663 0.710  -0.16
Ge 0.000 0.000 0.000  0.02
Pu 0.250 0.750 0.500  1.02
Zn 0.500 0.500 0.000  -0.01
Zn 0.750 0.250 0.500  -0.02

***

This record from the Alexandria database describes crystalline KN4 at its relaxed geometry. The functional is PBE.

Raw formation energy = -0.086 eV per atom
Offset from the most stable computed form = 0.0 meV per atom

a b c (Å): 5.243 4.370 8.662
angles (deg): 109.57 90.00 90.00
Fractional positions:
N 0.000 0.629 0.358
N 0.500 0.371 0.142
N 0.000 0.371 0.642
N 0.500 0.725 0.751
N 0.000 0.725 0.251
N 0.500 0.275 0.249
N 0.500 0.629 0.858
N 0.000 0.275 0.749
K 0.000 0.000 0.000
K 0.500 0.000 0.500

***

This record from the Alexandria database describes crystalline VGaSi2 at its relaxed geometry. The functional is PBE.

Raw formation energy = 0.336 eV per atom
Offset from the most stable computed form = 0.0 meV per atom

a b c (Å): 7.046 7.046 5.600
angles (deg): 51.01 51.01 90.00
Fractional positions:
Ga 0.000 0.000 0.000
Ga 0.750 0.250 0.500
Si 0.137 0.625 0.250
Si 0.613 0.125 0.250
Si 0.875 0.863 0.750
Si 0.375 0.387 0.750
V 0.500 0.500 0.000
V 0.250 0.750 0.500

***

This record from the Alexandria database describes crystalline SrFePb2 at its relaxed geometry. The functional is PBE.

VASP energy = -4.156 eV/atom

a b c (Å): 4.799 4.800 4.746
angles (deg): 90.00 90.00 90.00
Last column: magnetic moment on the atom in μB.
Fractional positions:
Sr 0.500 0.000 0.500  -0.03
Fe 0.000 0.500 0.500  3.01
Pb 0.500 0.500 0.000  -0.02
Pb 0.000 0.000 0.000  -0.02